# OsSeBr2N | Alexandria | PBEsol | relaxed
data_OsSeBr2N
_symmetry_space_group_name_H-M 'P 4/m m m'
_symmetry_Int_Tables_number 123
_symmetry_space_group_name_Hall '-P 4 2'
_cell_length_a 4.2638
_cell_length_b 4.2638
_cell_length_c 4.7814
_cell_angle_alpha 90.00
_cell_angle_beta 90.00
_cell_angle_gamma 90.00
loop_
_atom_site_label
_atom_site_fract_x
_atom_site_fract_y
_atom_site_fract_z
Os1 0.0000 0.0000 0.0000
Se1 0.5000 0.5000 0.0000
Br1 0.0000 0.5000 0.5000
N1 0.5000 0.5000 0.5000
# DFT total energy = -19.100 eV/cell
# Energy relative to the elements, uncorrected = 1.847 eV/atom

***

# BaRe2PdPb | Alexandria | PBEsol | relaxed
data_BaRe2PdPb
_symmetry_space_group_name_H-M 'P 4/m m m'
_symmetry_Int_Tables_number 123
_symmetry_space_group_name_Hall '-P 4 2'
_cell_length_a 5.1265
_cell_length_b 5.1265
_cell_length_c 5.0840
_cell_angle_alpha 90.00
_cell_angle_beta 90.00
_cell_angle_gamma 90.00
loop_
_atom_site_label
_atom_site_fract_x
_atom_site_fract_y
_atom_site_fract_z
Ba1 0.0000 0.0000 0.0000
Re1 0.0000 0.5000 0.5000
Pd1 0.5000 0.5000 0.0000
Pb1 0.5000 0.5000 0.5000
# DFT total energy = -29.396 eV/cell
# ΔE_f = 43.2 kcal/mol of atoms

***

# CdCl2 | Alexandria | PBEsol | relaxed
data_CdCl2
_symmetry_space_group_name_H-M 'P n n m'
_symmetry_Int_Tables_number 58
_symmetry_space_group_name_Hall '-P 2 2n'
_cell_length_a 5.9655
_cell_length_b 6.2809
_cell_length_c 3.8827
_cell_angle_alpha 90.00
_cell_angle_beta 90.00
_cell_angle_gamma 90.00
loop_
_atom_site_label
_atom_site_fract_x
_atom_site_fract_y
_atom_site_fract_z
Cd1 0.0000 0.0000 0.0000
Cl1 0.2372 0.1572 0.5000
# DFT total energy = -16.651 eV/cell
# Energy relative to the elements, uncorrected = -1.038 eV/atom